Entry 1:
Compound: BaHgIr
Source: Alexandria
Functional: PBE
Structure: optimized geometry

a b c (Å): 7.4999 7.4999 7.4999
angles (deg): 90.00 90.00 90.00
With the nearest neighbours (Å) after each atom.
Space group F-43m (No. 216)
One atom of each set of equivalent atoms:
Ba 0.0000 0.0000 0.0000 [4 per cell]  4 Hg 3.25, 4 Ir 3.25
Hg 0.2500 0.2500 0.2500 [4 per cell]  4 Ba 3.25
Ir 0.2500 0.2500 0.7500 [4 per cell]  4 Ba 3.25

Output
**Final energy**: -0.216 Ry per atom
**Formation energy from the elements**: 0.76 eV/atom
**Size of the total moment**: 4.03 μB per cell

=====

Entry 2:
Compound: KNb2GaBi
Source: Alexandria
Functional: PBE
Structure: optimized geometry

a b c (Å): 4.9067 4.9067 5.2568
angles (deg): 90.00 90.00 90.00
With the nearest neighbours (Å) after each atom.
Space group P4/mmm (No. 123)
One atom of each set of equivalent atoms:
K 0.0000 0.0000 0.0000 [1 per cell]  4 Nb 2.45, 2 Ga 2.63
Nb 0.0000 0.5000 0.0000 [2 per cell]  2 K 2.45
Ga 0.0000 0.0000 0.5000 [1 per cell]  2 K 2.63
Bi 0.5000 0.5000 0.5000 [1 per cell]  4 Ga 3.47, 8 Nb 3.60

Output
**Final energy**: -0.253 Ry per atom
**Formation energy from the elements**: 2.19 eV/atom
**Size of the total moment**: 2.11 μB per cell